Entry 1:
Compound: ScTaCd2
Source: the Alexandria database
Functional: GGA-PBEsol
Structure: optimized geometry

ΔE to the lowest computed polymorph: 118 meV per atom
ΔH_f (0 K): 153 meV per atom
Total magnetization: 0.0 μB/f.u.
SG: C2/m, No. 12

Cell: 5.3903 5.3903 5.2108 Å, 98.61 98.61 31.56°
With the nearest neighbours (Å) after each atom.
Positions (direct):
Sc: 0.0000 0.0000 0.0000  2 Sc 2.93, 4 Ta 2.99, 6 Cd 3.07-3.12
Ta: 0.5000 0.5000 0.5000  2 Ta 2.93, 4 Sc 2.99, 6 Cd 3.05-3.09
Cd: 0.2467 0.2467 0.7439  6 Cd 2.93-3.04, 3 Ta 3.05-3.09, 3 Sc 3.07-3.12
Cd: 0.7533 0.7533 0.2561  6 Cd 2.93-3.04, 3 Ta 3.05-3.09, 3 Sc 3.07-3.12


Entry 2:
Compound: ScTaCd2
Source: the Alexandria database
Functional: GGA-PBEsol
Structure: optimized geometry

ΔE to the lowest computed polymorph: 95 meV per atom
ΔH_f (0 K): 130 meV per atom
Total magnetization: 0.0 μB/f.u.
SG: Amm2, No. 38

Cell: 4.4755 6.0228 6.0228 Å, 29.09 90.00 90.00°
With the nearest neighbours (Å) after each atom.
Positions (direct):
Sc: 0.0000 0.0000 0.0000  5 Cd 2.87-3.02, 2 Sc 3.02, 4 Ta 3.11
Ta: 0.5000 0.3670 0.3670  5 Cd 2.90-3.01, 2 Ta 3.02, 4 Sc 3.11
Cd: 0.0000 0.7540 0.7540  4 Cd 2.76-3.02, 1 Sc 2.87, 4 Ta 3.01
Cd: 0.5000 0.6153 0.6153  4 Cd 2.76-3.02, 1 Ta 2.90, 4 Sc 3.02


Entry 3:
Compound: ScTaCd2
Source: the Alexandria database
Functional: GGA-PBEsol
Structure: optimized geometry

ΔE to the lowest computed polymorph: 27 meV per atom
ΔH_f (0 K): 62 meV per atom
Total magnetization: 0.0 μB/f.u.
SG: Cmmm, No. 65

Cell: 5.2296 5.2296 2.9698 Å, 90.00 90.00 109.68°
With the nearest neighbours (Å) after each atom.
Positions (direct):
Sc: 0.0000 0.0000 0.0000  2 Sc 2.97, 8 Cd 3.01, 2 Ta 3.01
Ta: 0.5000 0.5000 0.0000  2 Ta 2.97, 8 Cd 3.01, 2 Sc 3.01
Cd: 0.0000 0.5000 0.5000  4 Cd 2.97-3.01, 4 Ta 3.01, 4 Sc 3.01
Cd: 0.5000 0.0000 0.5000  4 Cd 2.97-3.01, 4 Ta 3.01, 4 Sc 3.01


Entry 4:
Compound: ScTaCd3
Source: the Alexandria database
Functional: GGA-PBEsol
Structure: optimized geometry

ΔE to the lowest computed polymorph: 0 meV per atom
ΔH_f (0 K): 1103 meV per atom
Total magnetization: 0.0 μB/f.u.
SG: Pm-3m, No. 221

Cell: 5.1642 5.1642 5.1642 Å, 90.00 90.00 90.00°
With the nearest neighbours (Å) after each atom.
Positions (direct):
Sc: 0.0000 0.0000 0.0000  12 Cd 3.65
Ta: 0.5000 0.5000 0.5000  6 Cd 2.58
Cd: 0.0000 0.5000 0.5000  2 Ta 2.58
Cd: 0.5000 0.0000 0.5000  2 Ta 2.58
Cd: 0.5000 0.5000 0.0000  2 Ta 2.58


Entry 5:
Compound: ZrSc2TaCd
Source: the Alexandria database
Functional: GGA-PBEsol
Structure: optimized geometry

ΔH_f (0 K): 1098 meV per atom
Total magnetization: 0.0 μB/f.u.
SG: P4/mmm, No. 123

Cell: 5.0712 5.0712 4.8472 Å, 90.00 90.00 90.00°
With the nearest neighbours (Å) after each atom.
Positions (direct):
Zr: 0.0000 0.0000 0.0000  2 Ta 2.42, 4 Sc 2.54
Sc: 0.0000 0.5000 0.0000  2 Zr 2.54
Sc: 0.5000 0.0000 0.0000  2 Zr 2.54
Ta: 0.0000 0.0000 0.5000  2 Zr 2.42
Cd: 0.5000 0.5000 0.5000  8 Sc 3.51, 4 Ta 3.59


Entry 6:
Compound: ScCdTc2
Source: the Alexandria database
Functional: GGA-PBEsol
Structure: optimized geometry

ΔH_f (0 K): 382 meV per atom
Total magnetization: 0.0 μB/f.u.
SG: R-3m, No. 166

Cell: 9.5004 9.5004 9.5004 Å, 17.28 17.28 17.28°
With the nearest neighbours (Å) after each atom.
Positions (direct):
Sc: 0.0000 0.0000 0.0000  6 Tc 2.82, 6 Sc 2.86
Cd: 0.5000 0.5000 0.5000  6 Cd 2.86, 6 Tc 2.90
Tc: 0.2517 0.2517 0.2517  3 Sc 2.82, 6 Tc 2.86, 3 Cd 2.90
Tc: 0.7483 0.7483 0.7483  3 Sc 2.82, 6 Tc 2.86, 3 Cd 2.90